DFT (PBE) results for an optimized crystal structure of La3Hg2Rh.

Output
Its relative energy among the computed polymorphs is 0.18 eV per formula unit. The value obtained for the energy of formation is -3.16 eV per formula unit. The magnetization comes out at 0.00 μB per formula unit.

Lattice parameters (Å, degrees): 4.0446 6.1272 14.9562 90.00 90.00 90.00
Space group Immm (No. 71)
Asymmetric unit:
La 0.0000 0.0000 0.0000 x2
La 0.0000 0.0000 0.3674 x4
Hg 0.0000 0.5000 0.3105 x4
Rh 0.0000 0.5000 0.0000 x2